Record 1
Here is crystalline AlTlZn at its relaxed geometry from Alexandria via LeMat-Bulk. Energies are from PBE.

a b c (Å): 3.393 11.255 3.392
angles (deg): 89.99 90.00 90.00
Sites, in units of the cell vectors:
Tl  0.546  0.998  0.860
Tl  0.048  0.747  0.359
Al  0.046  0.426  0.360
Al  0.546  0.553  0.860
Zn  0.046  0.182  0.361
Zn  0.546  0.299  0.861

## Properties
Density   7.607 g cm⁻³
Energy relative to the elements   36 kJ/mol of formula units
Crystal system   monoclinic

***

Record 2
Here is crystalline AlTlZn2 at its relaxed geometry from Alexandria via LeMat-Bulk. Energies are from PBE.

a b c (Å): 3.116 3.116 8.186
angles (deg): 90.00 90.00 90.00
Sites, in units of the cell vectors:
Tl  0.500  0.500  0.760
Zn  0.500  0.500  0.240
Zn  0.000  0.000  0.045
Al  0.000  0.000  0.454

## Properties
Density   7.568 g cm⁻³
Energy relative to the elements   72 kJ/mol of formula units
Crystal system   tetragonal

***

Record 3
Here is crystalline AlTlZn2 at its relaxed geometry from Alexandria via LeMat-Bulk. Energies are from PBE.

a b c (Å): 9.246 9.246 9.246
angles (deg): 19.75 19.75 19.75
Sites, in units of the cell vectors:
Zn  0.991  0.991  0.991
Zn  0.509  0.509  0.509
Al  0.250  0.250  0.250
Tl  0.750  0.750  0.750

## Properties
Density   7.621 g cm⁻³
Energy relative to the elements   65 kJ/mol of formula units
Crystal system   trigonal

***

Record 4
Here is crystalline AlTlZn at its relaxed geometry from Alexandria via LeMat-Bulk. Energies are from PBE.

a b c (Å): 4.318 4.318 11.095
angles (deg): 90.00 90.00 120.00
Sites, in units of the cell vectors:
Al  0.000  0.000  0.750
Al  0.000  0.000  0.250
Tl  0.000  0.000  0.500
Tl  0.000  0.000  0.000
Zn  0.667  0.333  0.750
Zn  0.333  0.667  0.250

## Properties
Density   5.502 g cm⁻³
Energy relative to the elements   136 kJ/mol of formula units
Crystal system   hexagonal

***

Record 5
Here is crystalline Al2TlZn at its relaxed geometry from Alexandria via LeMat-Bulk. Energies are from PBE.

a b c (Å): 4.835 4.835 3.560
angles (deg): 90.00 90.00 90.00
Sites, in units of the cell vectors:
Al  0.000  0.000  0.000
Al  0.500  0.500  0.000
Tl  0.500  0.000  0.500
Zn  0.000  0.500  0.500

## Properties
Density   6.459 g cm⁻³
Energy relative to the elements   133 kJ/mol of formula units
Crystal system   tetragonal

***

Record 6
Here is crystalline Al2TlZn at its relaxed geometry from Alexandria via LeMat-Bulk. Energies are from PBE.

a b c (Å): 4.739 4.739 5.807
angles (deg): 80.45 80.45 40.16
Sites, in units of the cell vectors:
Zn  0.262  0.262  0.187
Tl  0.501  0.501  0.498
Al  0.999  0.999  0.009
Al  0.738  0.738  0.806

## Properties
Density   6.494 g cm⁻³
Energy relative to the elements   78 kJ/mol of formula units
Crystal system   monoclinic